Material: Rb3Bi2
Method: DFT, meta-GGA SCAN
State: PBEsol geometry

The calculation puts the energy of formation from the pure elements at -0.404 eV/atom. For the size of the total moment, the calculation gives 0.204 μB per atom.

The space group is C2/c (No. 15) and the conventional cell measures 9.659, 9.988 and 9.672 Å, with angles of 90.00, 105.72 and 90.00 degrees. Symmetry generates all atoms from Rb at (0.000, 0.159, 0.250), Rb at (0.206, 0.451, 0.983) and Bi at (0.099, 0.212, 0.656).